This record from Alexandria describes a relaxed LaBe2Ni crystal. The functional is PBE-GGA.

a = 4.080 Å, b = 4.183 Å, c = 4.220 Å
α = 77.30°, β = 90.00°, γ = 90.00°
Fractional coordinates of all 4 atoms:
Be (0.000, 0.524, 0.697)
Ni (0.500, 0.750, 0.750)
La (0.500, 0.250, 0.250)
Be (0.000, 0.976, 0.803)

Results
Formation energy = 0.13 eV/f.u.